Record 1
The following is a DFT calculation (PBE) of In3AgRh after structural relaxation.

Values from the calculation:
Total magnetic moment   0.00 Bohr magnetons per cell
ΔE to the lowest computed polymorph   0.0 meV/atom
Final energy   -77.40 eV for the cell shown
Symmetry   P2_1/c, No. 14

abc: 7.3286 6.5806 9.2771
angles: 90.00 108.53 90.00
Positions (direct):
In: 0.0010 0.0006 0.2441
In: 0.0010 0.4994 0.7441
In: 0.3574 0.0073 0.0877
In: 0.3574 0.4927 0.5877
In: 0.3641 0.0034 0.5923
In: 0.3641 0.4966 0.0923
In: 0.6359 0.5034 0.9077
In: 0.6359 0.9966 0.4077
In: 0.6426 0.5073 0.4123
In: 0.6426 0.9927 0.9123
In: 0.9990 0.5006 0.2559
In: 0.9990 0.9994 0.7559
Ag: 0.0118 0.7380 0.0027
Ag: 0.0118 0.7620 0.5027
Ag: 0.9882 0.2380 0.4973
Ag: 0.9882 0.2620 0.9973
Rh: 0.3091 0.7497 0.3270
Rh: 0.3091 0.7503 0.8270
Rh: 0.6909 0.2497 0.1730
Rh: 0.6909 0.2503 0.6730

---

Record 2
The following is a DFT calculation (PBE) of NaH3PdRh after structural relaxation.

Values from the calculation:
Total magnetic moment   0.00 Bohr magnetons per cell
Final energy   -49.52 eV for the cell shown
Symmetry   P2_1/m, No. 11

abc: 6.1391 2.9264 7.9537
angles: 90.00 96.15 90.00
Positions (direct):
Na: 0.1941 0.2500 0.2061
Na: 0.8059 0.7500 0.7939
H: 0.1369 0.7500 0.4949
H: 0.1677 0.2500 0.8695
H: 0.4710 0.7500 0.1114
H: 0.5290 0.2500 0.8886
H: 0.8323 0.7500 0.1305
H: 0.8631 0.2500 0.5051
Pd: 0.1387 0.2500 0.6239
Pd: 0.8613 0.7500 0.3761
Rh: 0.3457 0.7500 0.8923
Rh: 0.6543 0.2500 0.1077

---

Record 3
The following is a DFT calculation (PBE) of KNaHg2Bi2 after structural relaxation.

Values from the calculation:
Total magnetic moment   0.00 Bohr magnetons per cell
Final energy   -12.10 eV for the cell shown
Symmetry   P-3m1, No. 164

abc: 5.0090 5.0090 9.6896
angles: 90.00 90.00 120.00
Positions (direct):
K: 0.0000 0.0000 0.0000
Na: 0.0000 0.0000 0.5000
Hg: 0.3333 0.6667 0.7597
Hg: 0.6667 0.3333 0.2403
Bi: 0.3333 0.6667 0.2860
Bi: 0.6667 0.3333 0.7140

---

Record 4
The following is a DFT calculation (PBE) of CeMg2CdHg4 after structural relaxation.

Values from the calculation:
Total magnetic moment   0.93 Bohr magnetons per cell
Final energy   -13.09 eV for the cell shown
Symmetry   R-3m, No. 166

abc: 9.5267 9.5267 9.5267
angles: 29.96 29.96 29.96
Positions (direct):
Ce: 0.0000 0.0000 0.0000
Mg: 0.2455 0.2455 0.2455
Mg: 0.7545 0.7545 0.7545
Cd: 0.5000 0.5000 0.5000
Hg: 0.1223 0.1223 0.1223
Hg: 0.3840 0.3840 0.3840
Hg: 0.6160 0.6160 0.6160
Hg: 0.8777 0.8777 0.8777

---

Record 5
The following is a DFT calculation (PBE) of ScTc3Au after structural relaxation.

Values from the calculation:
Total magnetic moment   0.00 Bohr magnetons per cell
ΔE to the lowest computed polymorph   0.0 meV/atom
Final energy   -31.85 eV for the cell shown
Symmetry   Pm-3m, No. 221

abc: 4.5517 4.5517 4.5517
angles: 90.00 90.00 90.00
Positions (direct):
Sc: 0.0000 0.0000 0.0000
Tc: 0.0000 0.0000 0.5000
Tc: 0.0000 0.5000 0.0000
Tc: 0.5000 0.0000 0.0000
Au: 0.5000 0.5000 0.5000

---

Record 6
The following is a DFT calculation (PBE) of Co3H2Rh after structural relaxation.

Values from the calculation:
Total magnetic moment   10.55 Bohr magnetons per cell
Final energy   -70.52 eV for the cell shown
Symmetry   C2/m, No. 12

abc: 5.0140 5.0140 9.0910
angles: 117.65 117.65 30.90
Positions (direct):
Co: 0.1162 0.1162 0.4775
Co: 0.1276 0.1276 0.9775
Co: 0.3820 0.3820 0.2768
Co: 0.6180 0.6180 0.7232
Co: 0.8724 0.8724 0.0225
Co: 0.8838 0.8838 0.5225
H: 0.2442 0.2442 0.8756
H: 0.2590 0.2590 0.3837
H: 0.7410 0.7410 0.6163
H: 0.7558 0.7558 0.1244
Rh: 0.3803 0.3803 0.7750
Rh: 0.6197 0.6197 0.2250

---

Record 7
The following is a DFT calculation (PBE) of La10Sn3Te3 after structural relaxation.

Values from the calculation:
Total magnetic moment   1.42 Bohr magnetons per cell
Final energy   -85.83 eV for the cell shown
ΔE_f (raw)   -945 meV per atom
Symmetry   P-62m, No. 189

abc: 9.5877 9.5877 6.6537
angles: 90.00 90.00 120.00
Positions (direct):
La: 0.0000 0.2547 0.0000
La: 0.0000 0.7455 0.5000
La: 0.2547 0.0000 0.0000
La: 0.2545 0.2545 0.5000
La: 0.3333 0.6667 0.2504
La: 0.3333 0.6667 0.7496
La: 0.6667 0.3333 0.2504
La: 0.6667 0.3333 0.7496
La: 0.7455 0.0000 0.5000
La: 0.7453 0.7453 0.0000
Sn: 0.0000 0.6148 0.0000
Sn: 0.3852 0.3852 0.0000
Sn: 0.6148 0.0000 0.0000
Te: 0.0000 0.3822 0.5000
Te: 0.3822 0.0000 0.5000
Te: 0.6178 0.6178 0.5000

---

Record 8
The following is a DFT calculation (PBE) of GaSI2N after structural relaxation.

Values from the calculation:
Total magnetic moment   0.00 Bohr magnetons per cell
ΔE to the lowest computed polymorph   312.5 meV/atom
Final energy   -14.06 eV for the cell shown
ΔE_f (raw)   905 meV per atom
Symmetry   P4/mmm, No. 123

abc: 5.9128 5.9128 3.5117
angles: 90.00 90.00 90.00
Positions (direct):
Ga: 0.0000 0.0000 0.0000
S: 0.5000 0.5000 0.5000
I: 0.0000 0.5000 0.0000
I: 0.5000 0.0000 0.0000
N: 0.0000 0.0000 0.5000

---

no.,Fermi-level density of states (states/eV per atom)
1,0.27
2,0.21
3,0.12
4,1.09
5,1.02
6,0.62
7,1.38
8,1.54